Record 1
A relaxed Tc2SbRu crystal. Source: the Alexandria database, functional PBE.

Output
Formation energy from raw total energies   1017 meV/atom
DOS(E_F)   1.1179 states/eV/atom
Size of the total moment   0.0 μB/cell

Cell and atoms, written as POSCAR:
```
Tc2SbRu
1.0
-2.898 2.898 5.619
2.898 -2.898 5.619
2.898 2.898 -5.619
Tc Sb Ru
4 2 2
Direct
0.089 0.625 0.964
0.375 0.339 0.464
0.661 0.125 0.036
0.875 0.911 0.536
0.250 0.750 0.500
0.500 0.500 0.000
0.000 0.000 0.000
0.750 0.250 0.500
```



Record 2
A relaxed Tc2SbRu crystal. Source: the Alexandria database, functional PBE.

Output
Formation energy from raw total energies   311 meV/atom
DOS(E_F)   1.1188 states/eV/atom
Size of the total moment   0.0 μB/cell

Cell and atoms, written as POSCAR:
```
Tc2SbRu
1.0
4.549 0.000 0.000
0.000 4.549 0.000
0.000 0.000 3.060
Tc Sb Ru
2 1 1
Direct
0.000 0.500 0.000
0.500 0.000 0.000
0.000 0.000 0.500
0.500 0.500 0.500
```



Record 3
A relaxed TcSb2Ru crystal. Source: the Alexandria database, functional PBE.

Output
Formation energy from raw total energies   206 meV/atom
DOS(E_F)   0.9091 states/eV/atom
Size of the total moment   0.0 μB/cell
Polymorph energy (0 for the lowest one)   2.64 kcal/mol of atoms

Cell and atoms, written as POSCAR:
```
TcSb2Ru
1.0
4.192 -1.598 0.000
4.192 1.598 0.000
-1.234 0.000 5.405
Tc Sb Ru
1 2 1
Direct
0.000 0.000 0.000
0.250 0.250 0.752
0.750 0.750 0.248
0.500 0.500 0.500
```



Record 4
A relaxed TlTc2SbRu crystal. Source: the Alexandria database, functional PBE.

Output
Formation energy from raw total energies   2210 meV/atom
DOS(E_F)   1.9285 states/eV/atom
Size of the total moment   2.0 μB/cell

Cell and atoms, written as POSCAR:
```
TlTc2SbRu
1.0
4.841 0.000 0.000
0.000 4.841 0.000
0.000 0.000 5.449
Tl Tc Sb Ru
1 2 1 1
Direct
0.000 0.000 0.000
0.000 0.500 0.500
0.500 0.000 0.500
0.000 0.000 0.500
0.500 0.500 0.000
```



Record 5
A relaxed UTcSbRu crystal. Source: the Alexandria database, functional PBE.

Output
Formation energy from raw total energies   -121 meV/atom
DOS(E_F)   1.2105 states/eV/atom
Size of the total moment   2.1 μB/cell

Cell and atoms, written as POSCAR:
```
UTcSbRu
1.0
0.000 3.329 3.329
3.329 0.000 3.329
3.329 3.329 0.000
U Tc Sb Ru
1 1 1 1
Direct
0.000 0.000 0.000
0.750 0.750 0.750
0.500 0.500 0.500
0.250 0.250 0.250
```



Record 6
A relaxed VTcSbRu crystal. Source: the Alexandria database, functional PBE.

Output
Formation energy from raw total energies   -142 meV/atom
DOS(E_F)   0.7943 states/eV/atom
Size of the total moment   1.0 μB/cell

Cell and atoms, written as POSCAR:
```
VTcSbRu
1.0
0.000 3.130 3.130
3.130 0.000 3.130
3.130 3.130 0.000
V Tc Sb Ru
1 1 1 1
Direct
0.000 0.000 0.000
0.750 0.750 0.750
0.500 0.500 0.500
0.250 0.250 0.250
```



Record 7
A relaxed ZnTcSbRu crystal. Source: the Alexandria database, functional PBE.

Output
Formation energy from raw total energies   59 meV/atom
DOS(E_F)   1.2278 states/eV/atom
Size of the total moment   0.0 μB/cell

Cell and atoms, written as POSCAR:
```
ZnTcSbRu
1.0
0.000 3.144 3.144
3.144 0.000 3.144
3.144 3.144 0.000
Zn Tc Sb Ru
1 1 1 1
Direct
0.000 0.000 0.000
0.750 0.750 0.750
0.500 0.500 0.500
0.250 0.250 0.250
```



Record 8
A relaxed ZrTcSbRu crystal. Source: the Alexandria database, functional PBE.

Output
Formation energy from raw total energies   -435 meV/atom
Size of the total moment   0.0 μB/cell

Cell and atoms, written as POSCAR:
```
ZrTcSbRu
1.0
0.000 3.244 3.244
3.244 0.000 3.244
3.244 3.244 0.000
Zr Tc Sb Ru
1 1 1 1
Direct
0.000 0.000 0.000
0.250 0.250 0.250
0.500 0.500 0.500
0.750 0.750 0.750
```



Question: Which of these has the lowest formation energy from raw total energies?
Answer: ZrTcSbRu